A plane-wave DFT calculation with PBE was carried out for an optimized crystal structure of RbMg3Sc.

The calculation puts the energy above the most stable polymorph in this dataset at 673 meV per atom. The total energy comes out at -5.689 eV for the cell shown. The value obtained for the total magnetization is 1.2 μB/f.u. The formation energy comes out at 1278.7 meV per atom.

Unit cell a=5.742 b=5.742 c=5.742 alpha=90.00 beta=90.00 gamma=90.00
Space group Pm-3m (No. 221)
One atom of each set of equivalent atoms:
Rb1 0.000 0.000 0.000 (multiplicity 1)
Mg1 0.000 0.000 0.500 (multiplicity 3)
Sc1 0.500 0.500 0.500 (multiplicity 1)

***

A plane-wave DFT calculation with PBE was carried out for an optimized crystal structure of TiP2RuCl.

The calculation puts the energy above the most stable polymorph in this dataset at 97 meV per atom. The total energy comes out at -26.854 eV for the cell shown. Its energy relative to the elements, uncorrected is 288 kJ/mol of formula units. The value obtained for the total magnetization is 2.9 μB/f.u.

Unit cell a=4.719 b=4.719 c=4.618 alpha=90.00 beta=90.00 gamma=90.00
Space group P4/mmm (No. 123)
One atom of each set of equivalent atoms:
Ti1 0.000 0.000 0.000 (multiplicity 1)
P1 0.000 0.500 0.000 (multiplicity 2)
Ru1 0.500 0.500 0.500 (multiplicity 1)
Cl1 0.000 0.000 0.500 (multiplicity 1)

***

Q: Number 2 is which compound?
A: TiP2RuCl